No. 1
# Ce3Ga3Rh2

A relaxed Ce3Ga3Rh2 crystal (PBE, Alexandria via LeMat-Bulk).

Cell: 8.165 15.321 5.415 Å, 90.00 90.00 90.00°
Fractional positions:
Ce1 0.035 0.109 0.111
Ce2 0.035 0.391 0.111
Ce3 0.169 0.250 0.619
Ce4 0.331 0.750 0.119
Ce5 0.465 0.609 0.611
Ce6 0.465 0.891 0.611
Ce7 0.535 0.109 0.389
Ce8 0.535 0.391 0.389
Ce9 0.669 0.250 0.881
Ce10 0.831 0.750 0.381
Ce11 0.965 0.609 0.889
Ce12 0.965 0.891 0.889
Ga1 0.175 0.750 0.619
Ga2 0.186 0.033 0.599
Ga3 0.186 0.467 0.599
Ga4 0.314 0.533 0.099
Ga5 0.314 0.967 0.099
Ga6 0.325 0.250 0.119
Ga7 0.675 0.750 0.881
Ga8 0.686 0.033 0.901
Ga9 0.686 0.467 0.901
Ga10 0.814 0.533 0.401
Ga11 0.814 0.967 0.401
Ga12 0.825 0.250 0.381
Rh1 0.094 0.612 0.358
Rh2 0.094 0.888 0.358
Rh3 0.406 0.112 0.858
Rh4 0.406 0.388 0.858
Rh5 0.594 0.612 0.142
Rh6 0.594 0.888 0.142
Rh7 0.906 0.112 0.642
Rh8 0.906 0.388 0.642

Its calculated formation energy is -0.706 eV per atom. The space group is Pnma. The calculation puts the spin magnetization at 1.33 μB/f.u. As for the crystal system: orthorhombic.



No. 2
# TbTl3

A relaxed TbTl3 crystal (PBE, Alexandria via LeMat-Bulk).

Cell: 5.461 5.461 5.461 Å, 60.00 60.00 60.00°
Fractional positions:
Tb1 0.000 0.000 0.000
Tl1 0.250 0.250 0.250
Tl2 0.500 0.500 0.500
Tl3 0.750 0.750 0.750

Its calculated formation energy is -0.079 eV per atom. The space group is Fm-3m. The calculation puts the spin magnetization at 0.00 μB/f.u. As for the crystal system: cubic.